(1)
# Dy2Y6Ag (PBE-GGA, relaxed)
data_Dy2Y6Ag
_space_group_name_H-M_alt 'I m m m'
_space_group_IT_number 71
_space_group_name_Hall '-I 2 2'
_cell_length_a 3.5816
_cell_length_b 10.1961
_cell_length_c 15.2416
_cell_angle_alpha 90.00
_cell_angle_beta 90.00
_cell_angle_gamma 90.00
loop_
_atom_site_label
_atom_site_type_symbol
_atom_site_fract_x
_atom_site_fract_y
_atom_site_fract_z
Dy1 Dy 0.0000 0.0000 0.1376
Y1 Y 0.0000 0.2675 0.5000
Y2 Y 0.0000 0.3420 0.1819
Ag1 Ag 0.0000 0.5000 0.0000
# Energy of formation: 0.6 eV/f.u.

---

(2)
# Pa4S (PBE-GGA, relaxed)
data_Pa4S
_space_group_name_H-M_alt 'P m -3 m'
_space_group_IT_number 221
_space_group_name_Hall '-P 4 2 3'
_cell_length_a 5.1282
_cell_length_b 5.1282
_cell_length_c 5.1282
_cell_angle_alpha 90.00
_cell_angle_beta 90.00
_cell_angle_gamma 90.00
loop_
_atom_site_label
_atom_site_type_symbol
_atom_site_fract_x
_atom_site_fract_y
_atom_site_fract_z
Pa1 Pa 0.0000 0.0000 0.0000
Pa2 Pa 0.0000 0.5000 0.5000
S1 S 0.5000 0.5000 0.5000
# Energy relative to the elements, uncorrected: -0.115 eV per atom

---

(3)
# Np3PaGa12 (PBE-GGA, relaxed)
data_Np3PaGa12
_space_group_name_H-M_alt 'P 4/m m m'
_space_group_IT_number 123
_space_group_name_Hall '-P 4 2'
_cell_length_a 4.2670
_cell_length_b 4.2670
_cell_length_c 17.1528
_cell_angle_alpha 90.00
_cell_angle_beta 90.00
_cell_angle_gamma 90.00
loop_
_atom_site_label
_atom_site_type_symbol
_atom_site_fract_x
_atom_site_fract_y
_atom_site_fract_z
Np1 Np 0.0000 0.0000 0.0000
Np2 Np 0.0000 0.0000 0.2492
Pa1 Pa 0.0000 0.0000 0.5000
Ga1 Ga 0.0000 0.5000 0.1248
Ga2 Ga 0.0000 0.5000 0.3733
Ga3 Ga 0.5000 0.5000 0.0000
Ga4 Ga 0.5000 0.5000 0.2498
Ga5 Ga 0.5000 0.5000 0.5000
# Energy of formation: -3.8 eV/f.u.

---

no.,total DFT energy (no corrections) (eV per atom)
1,-5.59
2,-8.54
3,-5.53